1.
## Sm4Mg3Pt (PBE)

Data for Sm4Mg3Pt after structural relaxation.

a b c (Å): 3.7562 3.7562 15.1670
angles (deg): 90.00 90.00 90.00
Space group P4/mmm (No. 123)
Asymmetric unit:
Sm  0.0000  0.0000  0.1075 x2
Sm  0.0000  0.0000  0.3692 x2
Mg  0.5000  0.5000  0.2417 x2
Mg  0.5000  0.5000  0.5000 x1
Pt  0.5000  0.5000  0.0000 x1

Energy of formation from the pure elements ... -0.3580 eV per atom



2.
## SmMg5Pt2 (PBE)

Data for SmMg5Pt2 after structural relaxation.

a b c (Å): 4.1652 8.2863 9.9558
angles (deg): 90.00 90.00 90.00
Space group Immm (No. 71)
Asymmetric unit:
Sm  0.0000  0.0000  0.0000 x2
Mg  0.0000  0.1831  0.3374 x8
Mg  0.0000  0.5000  0.0000 x2
Pt  0.0000  0.5000  0.2723 x4

Energy of formation from the pure elements ... -0.6240 eV per atom



3.
## SmMgPt (PBE)

Data for SmMgPt after structural relaxation.

a b c (Å): 3.5066 3.5066 11.0261
angles (deg): 90.00 90.00 90.00
Space group I4mm (No. 107)
Asymmetric unit:
Sm  0.0000  0.0000  0.0000 x2
Mg  0.0000  0.0000  0.7195 x2
Pt  0.0000  0.0000  0.3465 x2

Energy of formation from the pure elements ... -0.7003 eV per atom



4.
## Sm2Mg2Pt15 (PBE)

Data for Sm2Mg2Pt15 after structural relaxation.

a b c (Å): 9.2562 9.2562 13.6492
angles (deg): 90.00 90.00 120.00
Space group R-3m (No. 166, hexagonal axes)
Asymmetric unit:
Sm  0.0000  0.0000  0.1479 x6
Mg  0.0000  0.0000  0.3983 x6
Pt  0.0000  0.3122  0.5000 x18
Pt  0.0000  0.5000  0.0000 x9
Pt  0.0014  0.5007  0.6571 x18

Energy of formation from the pure elements ... -0.6028 eV per atom



5.
## Sm4MgPt (PBE)

Data for Sm4MgPt after structural relaxation.

a b c (Å): 9.3405 9.3405 9.8492
angles (deg): 90.00 90.00 90.00
Space group I4_1md (No. 109)
Asymmetric unit:
Sm  0.0000  0.3039  0.0000 x8
Sm  0.0000  0.3180  0.4507 x8
Mg  0.0000  0.0000  0.4798 x4
Pt  0.0000  0.0000  0.9735 x4

Relative energy among the computed polymorphs ... 0.441 eV per atom
Energy of formation from the pure elements ... -0.0406 eV per atom



6.
## Sm2MgSn3Pt4 (PBE)

Data for Sm2MgSn3Pt4 after structural relaxation.

a b c (Å): 4.5089 4.5089 10.8689
angles (deg): 90.00 90.00 90.00
Space group P-4m2 (No. 115)
Asymmetric unit:
Sm  0.0000  0.5000  0.2414 x2
Mg  0.0000  0.0000  0.5000 x1
Sn  0.0000  0.5000  0.8688 x2
Sn  0.5000  0.5000  0.5000 x1
Pt  0.0000  0.0000  0.0000 x1
Pt  0.0000  0.5000  0.6324 x2
Pt  0.5000  0.5000  0.0000 x1

Energy of formation from the pure elements ... -0.8390 eV per atom